No. 1
First-principles (PBE) data for crystalline LiPtF at its relaxed geometry, as listed in the Alexandria database.

Calculated values
Total energy   -59.4 eV/cell
Energy relative to the lowest polymorph listed for this composition   0.027 eV/atom
Total moment   0.0 Bohr magnetons per cell

Structure (CIF):
```
data_LiPtF
_symmetry_space_group_name_H-M 'C 1 2 1'
_symmetry_Int_Tables_number 5
_cell_length_a 3.8115
_cell_length_b 3.8114
_cell_length_c 10.6906
_cell_angle_alpha 90.00
_cell_angle_beta 90.12
_cell_angle_gamma 90.00
loop_
_symmetry_equiv_pos_as_xyz
'x,y,z'
'-x,y,-z'
'x+1/2,y+1/2,z'
'-x+1/2,y+1/2,-z'
loop_
_atom_site_label
_atom_site_type_symbol
_atom_site_fract_x
_atom_site_fract_y
_atom_site_fract_z
Li1 Li 0.2494 0.0000 0.4018
Pt1 Pt 0.2494 0.0018 0.9049
F1 F 0.2494 0.5000 0.3982
```

No. 2
First-principles (PBE) data for crystalline LiPtF at its relaxed geometry, as listed in the Alexandria database.

Calculated values
Total energy   -11.4 eV/cell
Energy relative to the lowest polymorph listed for this composition   1.177 eV/atom
Total moment   0.0 Bohr magnetons per cell

Structure (CIF):
```
data_LiPtF
_symmetry_space_group_name_H-M 'P -6 m 2'
_symmetry_Int_Tables_number 187
_symmetry_space_group_name_Hall 'P -6 2'
_cell_length_a 4.1132
_cell_length_b 4.1132
_cell_length_c 2.7457
_cell_angle_alpha 90.00
_cell_angle_beta 90.00
_cell_angle_gamma 120.00
loop_
_atom_site_label
_atom_site_type_symbol
_atom_site_fract_x
_atom_site_fract_y
_atom_site_fract_z
Li1 Li 0.0000 0.0000 0.0000
Pt1 Pt 0.6667 0.3333 0.5000
F1 F 0.3333 0.6667 0.5000
```

No. 3
First-principles (PBE) data for crystalline Li3PtF at its relaxed geometry, as listed in the Alexandria database.

Calculated values
Total energy   -20.4 eV/cell
Energy relative to the lowest polymorph listed for this composition   0.000 eV/atom
Total moment   0.0 Bohr magnetons per cell

Structure (CIF):
```
data_Li3PtF
_symmetry_space_group_name_H-M 'P m -3 m'
_symmetry_Int_Tables_number 221
_symmetry_space_group_name_Hall '-P 4 2 3'
_cell_length_a 3.9280
_cell_length_b 3.9280
_cell_length_c 3.9280
_cell_angle_alpha 90.00
_cell_angle_beta 90.00
_cell_angle_gamma 90.00
loop_
_atom_site_label
_atom_site_type_symbol
_atom_site_fract_x
_atom_site_fract_y
_atom_site_fract_z
Li1 Li 0.0000 0.0000 0.5000
Pt1 Pt 0.5000 0.5000 0.5000
F1 F 0.0000 0.0000 0.0000
```

No. 4
First-principles (PBE) data for crystalline Li3PtF at its relaxed geometry, as listed in the Alexandria database.

Calculated values
Total energy   -17.0 eV/cell
Energy relative to the lowest polymorph listed for this composition   0.683 eV/atom
Total moment   0.0 Bohr magnetons per cell

Structure (CIF):
```
data_Li3PtF
_symmetry_space_group_name_H-M 'P m -3 m'
_symmetry_Int_Tables_number 221
_symmetry_space_group_name_Hall '-P 4 2 3'
_cell_length_a 4.7280
_cell_length_b 4.7280
_cell_length_c 4.7280
_cell_angle_alpha 90.00
_cell_angle_beta 90.00
_cell_angle_gamma 90.00
loop_
_atom_site_label
_atom_site_type_symbol
_atom_site_fract_x
_atom_site_fract_y
_atom_site_fract_z
Li1 Li 0.0000 0.0000 0.5000
Pt1 Pt 0.0000 0.0000 0.0000
F1 F 0.5000 0.5000 0.5000
```

No. 5
First-principles (PBE) data for crystalline LiPtF at its relaxed geometry, as listed in the Alexandria database.

Calculated values
Total energy   -29.0 eV/cell
Energy relative to the lowest polymorph listed for this composition   0.138 eV/atom
Total moment   0.0 Bohr magnetons per cell

Structure (CIF):
```
data_LiPtF
_symmetry_space_group_name_H-M 'P 1'
_symmetry_Int_Tables_number 1
_cell_length_a 2.9123
_cell_length_b 3.9572
_cell_length_c 7.8078
_cell_angle_alpha 89.69
_cell_angle_beta 88.91
_cell_angle_gamma 90.00
loop_
_symmetry_equiv_pos_as_xyz
'x,y,z'
loop_
_atom_site_label
_atom_site_type_symbol
_atom_site_fract_x
_atom_site_fract_y
_atom_site_fract_z
Li1 Li 0.0000 0.0000 0.0000
Li2 Li 0.4941 0.4985 0.1269
Pt1 Pt 0.4890 0.4960 0.6095
Pt2 Pt 0.9937 0.9971 0.5175
F1 F 0.0015 0.5006 0.9825
F2 F 0.4926 0.9988 0.1444
```

No. 6
First-principles (PBE) data for crystalline LiPtF at its relaxed geometry, as listed in the Alexandria database.

Calculated values
Total energy   -27.9 eV/cell
Energy relative to the lowest polymorph listed for this composition   0.329 eV/atom
Total moment   0.8 Bohr magnetons per cell

Structure (CIF):
```
data_LiPtF
_symmetry_space_group_name_H-M 'P 63/m m c'
_symmetry_Int_Tables_number 194
_symmetry_space_group_name_Hall '-P 6c 2c'
_cell_length_a 2.8147
_cell_length_b 2.8147
_cell_length_c 14.5556
_cell_angle_alpha 90.00
_cell_angle_beta 90.00
_cell_angle_gamma 120.00
loop_
_atom_site_label
_atom_site_type_symbol
_atom_site_fract_x
_atom_site_fract_y
_atom_site_fract_z
Li1 Li 0.3333 0.6667 0.2500
Pt1 Pt 0.0000 0.0000 0.0000
F1 F 0.0000 0.0000 0.2500
```

No. 7
First-principles (PBE) data for crystalline LiPtF2 at its relaxed geometry, as listed in the Alexandria database.

Calculated values
Total energy   -66.0 eV/cell
Energy relative to the lowest polymorph listed for this composition   0.652 eV/atom
Total moment   4.4 Bohr magnetons per cell

Structure (CIF):
```
data_LiPtF2
_symmetry_space_group_name_H-M 'I -4 2 d'
_symmetry_Int_Tables_number 122
_symmetry_space_group_name_Hall 'I -4 2bw'
_cell_length_a 5.1107
_cell_length_b 5.1107
_cell_length_c 7.9854
_cell_angle_alpha 90.00
_cell_angle_beta 90.00
_cell_angle_gamma 90.00
loop_
_atom_site_label
_atom_site_type_symbol
_atom_site_fract_x
_atom_site_fract_y
_atom_site_fract_z
Li1 Li 0.0000 0.0000 0.0000
Pt1 Pt 0.0000 0.0000 0.5000
F1 F 0.1674 0.2500 0.1250
```

No. 8
First-principles (PBE) data for crystalline LiPt2F at its relaxed geometry, as listed in the Alexandria database.

Calculated values
Total energy   -71.1 eV/cell
Total moment   0.0 Bohr magnetons per cell

Structure (CIF):
```
data_LiPt2F
_symmetry_space_group_name_H-M 'I -4 2 d'
_symmetry_Int_Tables_number 122
_symmetry_space_group_name_Hall 'I -4 2bw'
_cell_length_a 3.5289
_cell_length_b 3.5289
_cell_length_c 22.8908
_cell_angle_alpha 90.00
_cell_angle_beta 90.00
_cell_angle_gamma 90.00
loop_
_atom_site_label
_atom_site_type_symbol
_atom_site_fract_x
_atom_site_fract_y
_atom_site_fract_z
Li1 Li 0.0000 0.0000 0.0000
Pt1 Pt 0.2502 0.2500 0.1250
F1 F 0.0000 0.0000 0.5000
```

No. 9
First-principles (PBE) data for crystalline LiPtF at its relaxed geometry, as listed in the Alexandria database.

Calculated values
Total energy   -59.7 eV/cell
Energy relative to the lowest polymorph listed for this composition   0.000 eV/atom
Total moment   0.0 Bohr magnetons per cell

Structure (CIF):
```
data_LiPtF
_symmetry_space_group_name_H-M 'A m m 2'
_symmetry_Int_Tables_number 38
_cell_length_a 2.6803
_cell_length_b 2.6563
_cell_length_c 21.2800
_cell_angle_alpha 90.00
_cell_angle_beta 90.00
_cell_angle_gamma 90.00
loop_
_symmetry_equiv_pos_as_xyz
'x,y,z'
'-x,-y,z'
'-x,y,z'
'x,-y,z'
'x,y+1/2,z+1/2'
'-x,-y+1/2,z+1/2'
'-x,y+1/2,z+1/2'
'x,-y+1/2,z+1/2'
loop_
_atom_site_label
_atom_site_type_symbol
_atom_site_fract_x
_atom_site_fract_y
_atom_site_fract_z
Li1 Li 0.0000 0.0000 0.0000
Li2 Li 0.5000 0.0000 0.3989
Pt1 Pt 0.0000 0.0000 0.7544
Pt2 Pt 0.5000 0.0000 0.6455
F1 F 0.0000 0.0000 0.8978
F2 F 0.5000 0.0000 0.5007
```

No. 10
First-principles (PBE) data for crystalline LiPt2F8 at its relaxed geometry, as listed in the Alexandria database.

Calculated values
Total energy   -41.9 eV/cell
Total moment   4.2 Bohr magnetons per cell

Structure (CIF):
```
data_LiPt2F8
_symmetry_space_group_name_H-M 'P -3 m 1'
_symmetry_Int_Tables_number 164
_symmetry_space_group_name_Hall '-P 3 2"'
_cell_length_a 6.6290
_cell_length_b 6.6290
_cell_length_c 4.1896
_cell_angle_alpha 90.00
_cell_angle_beta 90.00
_cell_angle_gamma 120.00
loop_
_atom_site_label
_atom_site_type_symbol
_atom_site_fract_x
_atom_site_fract_y
_atom_site_fract_z
Li1 Li 0.0000 0.0000 0.0000
Pt1 Pt 0.3333 0.6667 0.2412
F1 F 0.1607 0.3213 0.2459
F2 F 0.3333 0.6667 0.7416
```

No. 11
First-principles (PBE) data for crystalline LiPtF at its relaxed geometry, as listed in the Alexandria database.

Calculated values
Total energy   -29.0 eV/cell
Energy relative to the lowest polymorph listed for this composition   0.146 eV/atom
Total moment   0.0 Bohr magnetons per cell

Structure (CIF):
```
data_LiPtF
_symmetry_space_group_name_H-M 'P m n 21'
_symmetry_Int_Tables_number 31
_cell_length_a 2.7848
_cell_length_b 7.7322
_cell_length_c 4.2230
_cell_angle_alpha 90.00
_cell_angle_beta 90.00
_cell_angle_gamma 90.00
loop_
_symmetry_equiv_pos_as_xyz
'x,y,z'
'-x+1/2,-y,z+1/2'
'-x,y,z'
'x+1/2,-y,z+1/2'
loop_
_atom_site_label
_atom_site_type_symbol
_atom_site_fract_x
_atom_site_fract_y
_atom_site_fract_z
Li1 Li 0.0000 0.0942 0.0000
Pt1 Pt 0.0000 0.5400 0.9755
F1 F 0.0000 0.9019 0.7551
```

No. 12
First-principles (PBE) data for crystalline LiPtF2 at its relaxed geometry, as listed in the Alexandria database.

Calculated values
Total energy   -47.5 eV/cell
Energy relative to the lowest polymorph listed for this composition   0.822 eV/atom
Total moment   2.2 Bohr magnetons per cell

Structure (CIF):
```
data_LiPtF2
_symmetry_space_group_name_H-M 'R -3 m'
_symmetry_Int_Tables_number 166
_symmetry_space_group_name_Hall '-R 3 2"'
_cell_length_a 2.8145
_cell_length_b 2.8145
_cell_length_c 22.3136
_cell_angle_alpha 90.00
_cell_angle_beta 90.00
_cell_angle_gamma 120.00
loop_
_atom_site_label
_atom_site_type_symbol
_atom_site_fract_x
_atom_site_fract_y
_atom_site_fract_z
Li1 Li 0.0000 0.0000 0.0000
Pt1 Pt 0.0000 0.0000 0.5000
F1 F 0.0000 0.0000 0.0754
```